{"formula": "LaIn2Rh", "functional": "SCAN", "state": "PBEsol geometry", "total_energy_ev_per_atom": -36.381, "magnetic_moment_mub_per_cell": 0.00, "delta_e_f_ev_per_atom": -0.4691, "dos_at_fermi_per_ev_fu": 2.3, "density_g_cm3": 8.650, "cell": [[3.306, 0.000, 0.000], [0.000, 4.991, 0.000], [-1.653, -2.496, 5.484]], "species": ["La", "Rh", "In", "In"], "fractional_positions": [[0.000, 0.500, 0.000], [0.500, 0.000, 0.000], [0.208, 0.208, 0.415], [0.792, 0.792, 0.585]]}

{"formula": "HfBBr3", "functional": "SCAN", "state": "PBEsol geometry", "total_energy_ev_per_atom": -25.385, "magnetic_moment_mub_per_cell": 1.04, "dos_at_fermi_per_ev_fu": 4.3, "formation_energy_uncorrected_ev_per_atom": 0.311, "density_g_cm3": 5.187, "cell": [[5.159, 0.000, 0.000], [0.000, 5.159, 0.000], [0.000, 0.000, 5.159]], "species": ["Br", "Hf", "Br", "Br", "B"], "fractional_positions": [[0.500, 0.000, 0.000], [0.000, 0.000, 0.000], [0.000, 0.000, 0.500], [0.000, 0.500, 0.000], [0.500, 0.500, 0.500]]}

{"formula": "Ta2GaNi3", "functional": "SCAN", "state": "PBEsol geometry", "total_energy_ev_per_atom": -33.342, "magnetic_moment_mub_per_cell": 0.00, "delta_e_f_ev_per_atom": -0.3364, "dos_at_fermi_per_ev_fu": 6.3, "density_g_cm3": 12.939, "cell": [[4.848, 0.000, 0.000], [-2.424, 4.199, 0.000], [0.000, 0.000, 7.663]], "species": ["Ga", "Ni", "Ni", "Ta", "Ga", "Ta", "Ni", "Ta", "Ni", "Ta", "Ni", "Ni"], "fractional_positions": [[0.000, 0.000, 0.500], [0.172, 0.828, 0.750], [0.828, 0.172, 0.250], [0.333, 0.667, 0.056], [0.000, 0.000, 0.000], [0.667, 0.333, 0.556], [0.343, 0.172, 0.250], [0.667, 0.333, 0.944], [0.657, 0.828, 0.750], [0.333, 0.667, 0.444], [0.828, 0.657, 0.250], [0.172, 0.343, 0.750]]}

{"formula": "Mg2InSb", "functional": "SCAN", "state": "PBEsol geometry", "total_energy_ev_per_atom": -20.313, "magnetic_moment_mub_per_cell": 0.00, "dos_at_fermi_per_ev_fu": 1.4, "formation_energy_uncorrected_ev_per_atom": -0.165, "density_g_cm3": 5.090, "cell": [[-0.268, -0.679, -3.269], [-4.453, -2.801, 0.923], [-1.833, 4.936, -0.898]], "species": ["Mg", "Sb", "In", "Mg"], "fractional_positions": [[0.000, 0.000, 0.500], [0.500, 0.500, 0.500], [0.500, 0.000, 0.000], [0.000, 0.500, 0.000]]}

{"formula": "Cd8As", "functional": "SCAN", "state": "PBEsol geometry", "total_energy_ev_per_atom": -29.213, "magnetic_moment_mub_per_cell": 0.00, "delta_e_f_ev_per_atom": 0.0651, "dos_at_fermi_per_ev_fu": 3.4, "density_g_cm3": 8.657, "cell": [[4.358, 0.000, 0.000], [2.179, 6.548, 0.000], [2.179, 0.000, 6.548]], "species": ["Cd", "Cd", "Cd", "Cd", "Cd", "Cd", "As", "Cd", "Cd"], "fractional_positions": [[0.333, 0.000, 0.335], [0.000, 0.333, 0.667], [0.667, 0.665, 0.000], [0.667, 0.000, 0.665], [0.333, 0.335, 0.000], [0.000, 0.667, 0.333], [0.000, 0.000, 0.000], [0.667, 0.333, 0.333], [0.333, 0.667, 0.667]]}

{"formula": "KNaSmTaO5", "functional": "SCAN", "state": "PBEsol geometry", "total_energy_ev_per_atom": -20.186, "magnetic_moment_mub_per_cell": 0.00, "dos_at_fermi_per_ev_fu": 0.0, "formation_energy_uncorrected_ev_per_atom": -2.994, "density_g_cm3": 5.935, "cell": [[-2.953, -0.713, 4.787], [-0.339, -5.564, -1.038], [7.016, -1.201, 4.149]], "species": ["Sm", "O", "O", "K", "O", "Ta", "K", "O", "O", "Sm", "Na", "Na", "O", "O", "O", "O", "O", "Ta"], "fractional_positions": [[0.000, 0.000, 0.500], [0.768, 0.732, 0.667], [0.232, 0.732, 0.667], [0.000, 0.000, 0.000], [0.500, 0.000, 0.036], [0.500, 0.000, 0.261], [0.500, 0.500, 0.000], [0.732, 0.768, 0.333], [0.768, 0.268, 0.667], [0.500, 0.500, 0.500], [0.500, 0.000, 0.759], [0.000, 0.500, 0.241], [0.232, 0.268, 0.667], [0.268, 0.768, 0.333], [0.268, 0.232, 0.333], [0.732, 0.232, 0.333], [0.000, 0.500, 0.964], [0.000, 0.500, 0.739]]}

{"formula": "CaTl2In", "functional": "SCAN", "state": "PBEsol geometry", "total_energy_ev_per_atom": -47.180, "magnetic_moment_mub_per_cell": 0.00, "delta_e_f_ev_per_atom": -0.2380, "dos_at_fermi_per_ev_fu": 1.9, "density_g_cm3": 8.619, "cell": [[-5.000, 0.101, -1.915], [-3.856, -2.809, 2.433], [-3.856, 2.538, 2.714]], "species": ["Tl", "Tl", "In", "Ca"], "fractional_positions": [[0.750, 0.750, 0.750], [0.000, 0.000, 0.000], [0.250, 0.250, 0.250], [0.500, 0.500, 0.500]]}

{"formula": "Mg2MnTl", "functional": "SCAN", "state": "PBEsol geometry", "total_energy_ev_per_atom": -25.150, "magnetic_moment_mub_per_cell": 4.44, "delta_e_f_ev_per_atom": -0.0098, "dos_at_fermi_per_ev_fu": 2.4, "density_g_cm3": 6.438, "cell": [[-1.199, -1.570, 4.402], [2.289, -3.790, 1.916], [3.036, 0.631, 3.697]], "species": ["Tl", "Mg", "Mg", "Mn"], "fractional_positions": [[0.500, 0.500, 0.500], [0.750, 0.750, 0.750], [0.250, 0.250, 0.250], [0.000, 0.000, 0.000]]}

- What is the formula in the sixth record?
  KNaSmTaO5